Entry 1:
The following is a DFT calculation (PBE-GGA) of a relaxed Pm6Zn5In crystal.

The structure in POSCAR format:
```
Pm6Zn5In
1.0
8.2532 -3.7082 0.0000
8.2532 3.7082 0.0000
-1.6389 0.0000 4.9476
Pm Zn In
6 5 1
Direct
0.0736 0.5850 0.3292
0.2385 0.7615 0.0000
0.4150 0.9264 0.6708
0.5850 0.0736 0.3292
0.7615 0.2385 0.0000
0.9264 0.4150 0.6708
0.0000 0.0000 0.5000
0.1676 0.1676 0.1675
0.3368 0.3368 0.8364
0.6632 0.6632 0.1636
0.8324 0.8324 0.8325
0.5000 0.5000 0.5000
```

## Properties
Total DFT energy (no corrections) = -3.470 eV/atom
Total moment = 0.00 μB per atom
ΔE_f = -0.336 eV per atom
Mass density = 7.19 g cm⁻³
Space group = C2/m, No. 12



Entry 2:
The following is a DFT calculation (PBE-GGA) of a relaxed PmZnIn crystal.

The structure in POSCAR format:
```
PmZnIn
1.0
-1.7653 1.7653 5.8220
1.7653 -1.7653 5.8220
1.7653 1.7653 -5.8220
Pm Zn In
1 1 1
Direct
0.0000 0.0000 0.0000
0.6672 0.6672 0.0000
0.3021 0.3021 0.0000
```

## Properties
Total DFT energy (no corrections) = -3.194 eV/atom
Total moment = 0.00 μB per atom
ΔE_f = -0.273 eV per atom
Mass density = 7.44 g cm⁻³
Space group = I4mm, No. 107
E above lowest polymorph = 180 meV per atom



Entry 3:
The following is a DFT calculation (PBE-GGA) of a relaxed PmZnIn crystal.

The structure in POSCAR format:
```
PmZnIn
1.0
8.4805 -2.3798 0.0000
8.4805 2.3798 0.0000
-0.8376 0.0000 3.7001
Pm Zn In
2 2 2
Direct
0.1075 0.1075 0.3562
0.8925 0.8925 0.6438
0.4554 0.4554 0.2058
0.5446 0.5446 0.7942
0.2956 0.2956 0.0556
0.7044 0.7044 0.9444
```

## Properties
Total DFT energy (no corrections) = -3.282 eV/atom
Total moment = 0.00 μB per atom
ΔE_f = -0.361 eV per atom
Mass density = 7.23 g cm⁻³
Space group = C2/m, No. 12
E above lowest polymorph = 92 meV per atom



Entry 4:
The following is a DFT calculation (PBE-GGA) of a relaxed Pm3Zn8In3 crystal.

The structure in POSCAR format:
```
Pm3Zn8In3
1.0
-2.2146 4.9342 6.6356
2.2146 -4.9342 6.6356
2.2146 4.9342 -6.6356
Pm Zn In
3 8 3
Direct
0.0000 0.0000 0.0000
0.3042 0.3042 0.0000
0.6958 0.6958 0.0000
0.0402 0.6664 0.3739
0.1097 0.8459 0.2638
0.2925 0.6664 0.6261
0.4179 0.1541 0.2638
0.5821 0.8459 0.7362
0.7075 0.3336 0.3739
0.8903 0.1541 0.7362
0.9598 0.3336 0.6261
0.2796 0.5000 0.7796
0.5000 0.0000 0.5000
0.7204 0.5000 0.2204
```

## Properties
Total DFT energy (no corrections) = -2.680 eV/atom
Total moment = 0.00 μB per atom
ΔE_f = -0.348 eV per atom
Mass density = 7.46 g cm⁻³
Space group = Immm, No. 71



Entry 5:
The following is a DFT calculation (PBE-GGA) of a relaxed PmZn2In2 crystal.

The structure in POSCAR format:
```
PmZn2In2
1.0
-2.1302 2.2795 11.9554
2.1302 -2.2795 11.9554
2.1302 2.2795 -11.9554
Pm Zn In
2 4 4
Direct
0.3284 0.0784 0.2500
0.6716 0.9216 0.7500
0.1285 0.3785 0.7500
0.2297 0.4797 0.7500
0.7703 0.5203 0.2500
0.8715 0.6215 0.2500
0.0512 0.8012 0.2500
0.4463 0.6963 0.7500
0.5537 0.3037 0.2500
0.9488 0.1988 0.7500
```

## Properties
Total DFT energy (no corrections) = -2.748 eV/atom
Total moment = 0.00 μB per atom
ΔE_f = -0.193 eV per atom
Mass density = 7.23 g cm⁻³
Space group = Imma, No. 74
E above lowest polymorph = 0 meV per atom



Entry 6:
The following is a DFT calculation (PBE-GGA) of a relaxed Pm11Zn4In9 crystal.

The structure in POSCAR format:
```
Pm11Zn4In9
1.0
7.4785 -11.2240 0.0000
7.4785 11.2240 0.0000
0.0000 0.0000 3.8177
Pm Zn In
11 4 9
Direct
0.0000 0.0000 0.0000
0.0647 0.4121 0.0000
0.1619 0.8381 0.0000
0.3006 0.3006 0.0000
0.3680 0.6320 0.0000
0.4121 0.0647 0.0000
0.5879 0.9353 0.0000
0.6320 0.3680 0.0000
0.6994 0.6994 0.0000
0.8381 0.1619 0.0000
0.9353 0.5879 0.0000
0.2505 0.4497 0.5000
0.4497 0.2505 0.5000
0.5503 0.7495 0.5000
0.7495 0.5503 0.5000
0.0720 0.2167 0.5000
0.1592 0.6313 0.5000
0.2167 0.0720 0.5000
0.3687 0.8408 0.5000
0.5000 0.5000 0.5000
0.6313 0.1592 0.5000
0.7833 0.9280 0.5000
0.8408 0.3687 0.5000
0.9280 0.7833 0.5000
```

## Properties
Total DFT energy (no corrections) = -3.861 eV/atom
Total moment = 0.00 μB per atom
ΔE_f = -0.445 eV per atom
Mass density = 7.49 g cm⁻³
Space group = Cmmm, No. 65